# BiPbSe2 (PBE, optimized geometry)
data_BiPbSe2
_cell_length_a 4.067
_cell_length_b 4.067
_cell_length_c 8.446
_cell_angle_alpha 76.07
_cell_angle_beta 76.07
_cell_angle_gamma 60.00
_space_group_name_H-M_alt 'P 1'
_space_group_IT_number 1
loop_
_space_group_symop_operation_xyz
'x,y,z'
loop_
_atom_site_label
_atom_site_type_symbol
_atom_site_fract_x
_atom_site_fract_y
_atom_site_fract_z
Bi1 Bi 0.667 0.667 0.999
Pb1 Pb 0.499 0.499 0.504
Se1 Se 0.078 0.078 0.766
Se2 Se 0.256 0.256 0.231
# theoretical density	8.203	g/cm3
# space-group type	R3m
# total DFT energy (no corrections)	-3.96	eV/atom
# formation energy without anion corrections	-0.317	eV per atom


# Bi2PbSe2 (PBE, optimized geometry)
data_Bi2PbSe2
_cell_length_a 4.328
_cell_length_b 4.328
_cell_length_c 8.781
_cell_angle_alpha 75.73
_cell_angle_beta 75.73
_cell_angle_gamma 90.00
_space_group_name_H-M_alt 'P 1'
_space_group_IT_number 1
loop_
_space_group_symop_operation_xyz
'x,y,z'
loop_
_atom_site_label
_atom_site_type_symbol
_atom_site_fract_x
_atom_site_fract_y
_atom_site_fract_z
Pb1 Pb 0.000 0.000 0.000
Bi1 Bi 0.750 0.250 0.500
Bi2 Bi 0.250 0.750 0.500
Se1 Se 0.409 0.409 0.181
Se2 Se 0.591 0.591 0.819
# energy above the lowest structure with this stoichiometry	0.125	eV/atom
# theoretical density	8.436	g/cm3
# space-group type	I4/mmm
# total DFT energy (no corrections)	-3.63	eV/atom
# formation energy without anion corrections	0.056	eV per atom


# Bi3PbSe6 (PBE, optimized geometry)
data_Bi3PbSe6
_cell_length_a 4.167
_cell_length_b 12.474
_cell_length_c 12.333
_cell_angle_alpha 109.86
_cell_angle_beta 90.00
_cell_angle_gamma 90.00
_space_group_name_H-M_alt 'P 1'
_space_group_IT_number 1
loop_
_space_group_symop_operation_xyz
'x,y,z'
loop_
_atom_site_label
_atom_site_type_symbol
_atom_site_fract_x
_atom_site_fract_y
_atom_site_fract_z
Bi1 Bi 0.750 0.443 0.842
Bi2 Bi 0.250 0.557 0.158
Bi3 Bi 0.750 0.693 0.460
Bi4 Bi 0.250 0.307 0.540
Bi5 Bi 0.750 0.151 0.093
Bi6 Bi 0.250 0.849 0.907
Pb1 Pb 0.750 0.016 0.688
Pb2 Pb 0.250 0.984 0.312
Se1 Se 0.750 0.477 0.619
Se2 Se 0.250 0.523 0.381
Se3 Se 0.750 0.927 0.098
Se4 Se 0.250 0.073 0.902
Se5 Se 0.750 0.387 0.059
Se6 Se 0.250 0.613 0.941
Se7 Se 0.750 0.735 0.252
Se8 Se 0.250 0.265 0.748
Se9 Se 0.750 0.117 0.481
Se10 Se 0.250 0.883 0.519
Se11 Se 0.750 0.788 0.738
Se12 Se 0.250 0.212 0.262
# energy above the lowest structure with this stoichiometry	0.000	eV/atom
# theoretical density	7.205	g/cm3
# space-group type	P2_1/m
# total DFT energy (no corrections)	-3.96	eV/atom
# formation energy without anion corrections	-0.336	eV per atom


# BiPbSe2 (PBE, optimized geometry)
data_BiPbSe2
_cell_length_a 5.274
_cell_length_b 5.274
_cell_length_c 5.274
_cell_angle_alpha 60.00
_cell_angle_beta 60.00
_cell_angle_gamma 60.00
_space_group_name_H-M_alt 'P 1'
_space_group_IT_number 1
loop_
_space_group_symop_operation_xyz
'x,y,z'
loop_
_atom_site_label
_atom_site_type_symbol
_atom_site_fract_x
_atom_site_fract_y
_atom_site_fract_z
Pb1 Pb 0.000 0.000 0.000
Bi1 Bi 0.500 0.500 0.500
Se1 Se 0.250 0.250 0.250
Se2 Se 0.750 0.750 0.750
# theoretical density	9.192	g/cm3
# space-group type	Fm-3m
# total DFT energy (no corrections)	-3.84	eV/atom
# formation energy without anion corrections	-0.200	eV per atom


Which of these has the lowest formation energy without anion corrections? Bi3PbSe6


Look up the formation energy without anion corrections of the fourth one. -0.200 eV per atom


The lowest theoretical density belongs to which entry? Bi3PbSe6


The lowest formation energy without anion corrections belongs to which entry? Bi3PbSe6